[1]
## Cs3HAu (PBE-GGA)

Data for a relaxed Cs3HAu crystal.

The structure in extended XYZ format:
```
10
Lattice="8.0323 0.0000 0.0000 0.0000 8.4790 0.0000 -2.9357 0.0000 7.8310" Properties=species:S:1:pos:R:3 pbc="T T T"
Cs 0.9500 2.1198 0.5323
Cs 0.8845 0.0047 5.1178
Cs 0.8845 4.2348 5.1178
Cs 4.2121 4.2442 2.7132
Cs 4.2121 8.4743 2.7132
Cs 4.1466 6.3593 7.2988
H 2.1478 2.1198 3.2379
H 2.9488 6.3593 4.5931
Au 2.7298 6.3593 0.1059
Au 2.3669 2.1198 7.7251
```

Total energy, eV/atom: -1.98
DOS(E_F), states/eV per atom: 0.542
Symmetry: P2_1/m, No. 11
Total magnetic moment, μB/cell: 0.9

***

[2]
## CsH2Au (PBE-GGA)

Data for a relaxed CsH2Au crystal.

The structure in extended XYZ format:
```
4
Lattice="2.6094 1.5065 4.8755 -2.6094 1.5065 4.8755 0.0000 -3.0130 4.8755" Properties=species:S:1:pos:R:3 pbc="T T T"
Cs 0.0000 0.0000 0.0000
H 0.0000 0.0000 5.6549
H 0.0000 0.0000 8.9715
Au 0.0000 0.0000 7.3132
```

Total energy, eV/atom: -2.98
DOS(E_F), states/eV per atom: 0.000
Symmetry: R-3m, No. 166
Total magnetic moment, μB/cell: 0.0

***

[3]
## Cs2H3Au (PBE-GGA)

Data for a relaxed Cs2H3Au crystal.

The structure in extended XYZ format:
```
12
Lattice="0.0000 4.3308 9.6185 4.2718 0.0000 9.6185 4.2718 4.3308 0.0000" Properties=species:S:1:pos:R:3 pbc="T T T"
Cs 4.2718 2.0355 9.6185
Cs 2.1359 2.1654 4.8093
Cs 6.4077 6.4962 14.4278
Cs 4.2718 6.6260 9.6185
H 5.7508 4.3308 7.9116
H 4.2718 4.3308 5.2222
H 5.7508 4.3308 11.3255
H 2.7928 4.3308 7.9116
H 4.2718 4.3308 14.0148
H 2.7928 4.3308 11.3255
Au 4.2718 4.3308 6.9569
Au 4.2718 4.3308 12.2802
```

Total energy, eV/atom: -2.69
Symmetry: Fmmm, No. 69
Total magnetic moment, μB/cell: 0.0

***

[4]
## CsH2Au2 (PBE-GGA)

Data for a relaxed CsH2Au2 crystal.

The structure in extended XYZ format:
```
5
Lattice="-2.0379 2.0379 6.2124 2.0379 -2.0379 6.2124 2.0379 2.0379 -6.2124" Properties=species:S:1:pos:R:3 pbc="T T T"
Cs 0.0000 0.0000 0.0000
H 2.0379 0.0000 3.1062
H 0.0000 2.0379 3.1062
Au 0.0000 0.0000 3.4122
Au 0.0000 0.0000 9.0127
```

Total energy, eV/atom: -2.67
DOS(E_F), states/eV per atom: 0.277
Symmetry: I4/mmm, No. 139
Total magnetic moment, μB/cell: 0.0

***

[5]
## Cs5H3Au2 (PBE-GGA)

Data for a relaxed Cs5H3Au2 crystal.

The structure in extended XYZ format:
```
10
Lattice="8.3921 -2.3969 0.0000 8.3921 2.3969 0.0000 -6.9184 0.0000 9.8670" Properties=species:S:1:pos:R:3 pbc="T T T"
Cs 0.0000 0.0000 0.0000
Cs -1.4500 0.0000 4.0611
Cs 3.8989 0.0000 1.8139
Cs 5.9669 0.0000 8.0532
Cs 11.3158 0.0000 5.8059
H -4.1323 0.0000 8.6134
H 4.9329 0.0000 4.9335
H 13.9982 0.0000 1.2536
Au 0.4168 0.0000 7.2418
Au 9.4490 0.0000 2.6252
```

Total energy, eV/atom: -2.31
DOS(E_F), states/eV per atom: 0.000
Symmetry: C2/m, No. 12
Total magnetic moment, μB/cell: 0.0

***

[6]
## Cs3HAu (PBE-GGA)

Data for a relaxed Cs3HAu crystal.

The structure in extended XYZ format:
```
5
Lattice="5.9460 0.0000 0.0000 0.0000 5.9460 0.0000 0.0000 0.0000 5.9460" Properties=species:S:1:pos:R:3 pbc="T T T"
Cs 0.0000 0.0000 2.9730
Cs 0.0000 2.9730 0.0000
Cs 2.9730 0.0000 0.0000
H 0.0000 0.0000 0.0000
Au 2.9730 2.9730 2.9730
```

Total energy, eV/atom: -1.97
DOS(E_F), states/eV per atom: 0.908
Symmetry: Pm-3m, No. 221
Total magnetic moment, μB/cell: 0.0

***

[7]
## CsH6Au2 (PBE-GGA)

Data for a relaxed CsH6Au2 crystal.

The structure in extended XYZ format:
```
9
Lattice="3.2642 -3.5115 0.0000 3.2642 3.5115 0.0000 -0.2736 0.0000 6.6356" Properties=species:S:1:pos:R:3 pbc="T T T"
Cs 0.0000 0.0000 0.0000
H 1.7084 1.7075 1.6819
H 1.4521 0.0000 3.3731
H 4.5464 1.7075 4.9538
H 1.7084 -1.7075 1.6819
H 4.8027 0.0000 3.2625
H 4.5464 -1.7075 4.9538
Au 1.4953 1.7558 3.3178
Au 1.4953 -1.7558 3.3178
```

Total energy, eV/atom: -3.03
DOS(E_F), states/eV per atom: 0.185
Symmetry: C2/m, No. 12
Total magnetic moment, μB/cell: 0.0

***

[8]
## Cs12H5Au3 (PBE-GGA)

Data for a relaxed Cs12H5Au3 crystal.

The structure in extended XYZ format:
```
80
Lattice="-9.7920 9.7920 9.7920 9.7920 -9.7920 9.7920 9.7920 9.7920 -9.7920" Properties=species:S:1:pos:R:3 pbc="T T T"
Cs 2.9625 -0.5279 1.0425
Cs 11.7255 5.9385 -5.4239
Cs 12.7544 0.5279 1.0425
Cs 11.7255 -3.8535 5.4239
Cs 9.2641 -1.0425 2.9625
Cs 15.2159 -1.9335 3.8535
Cs 1.0425 2.9625 -0.5279
Cs 13.6455 4.3681 -1.9335
Cs 5.9385 5.4239 -1.9335
Cs 8.7495 2.9625 0.5279
Cs -0.5279 1.0425 2.9625
Cs 5.4239 -1.9335 5.9385
Cs 9.2641 8.7495 -2.9625
Cs 5.4239 1.9335 3.8535
Cs 5.9385 -5.4239 11.7255
Cs 8.7495 -2.9625 9.2641
Cs 3.8535 5.4239 1.9335
Cs 10.8345 6.8295 0.5279
Cs 5.4239 11.7255 -3.8535
Cs 9.2641 1.0425 6.8295
Cs 2.9625 9.2641 -1.0425
Cs 11.7255 3.8535 4.3681
Cs 1.9335 3.8535 5.4239
Cs 2.9625 0.5279 8.7495
Cs 6.8295 9.2641 1.0425
Cs 7.8585 5.9385 4.3681
Cs -1.9335 5.9385 5.4239
Cs 6.8295 0.5279 10.8345
Cs 0.5279 8.7495 2.9625
Cs 4.3681 -1.9335 13.6455
Cs -1.0425 2.9625 9.2641
Cs 5.9385 4.3681 7.8585
Cs 1.0425 12.7544 0.5279
Cs 3.8535 15.2159 -1.9335
Cs 4.3681 7.8585 5.9385
Cs 0.5279 1.0425 12.7544
Cs 4.3681 11.7255 3.8535
Cs 10.3199 8.7495 6.8295
Cs 1.0425 6.8295 9.2641
Cs 3.8535 4.3681 11.7255
Cs -3.8535 5.4239 11.7255
Cs 8.7495 6.8295 10.3199
Cs -5.4239 11.7255 5.9385
Cs 0.5279 10.8345 6.8295
Cs -1.9335 13.6455 4.3681
Cs -2.9625 9.2641 8.7495
Cs -1.9335 3.8535 15.2159
Cs 6.8295 10.3199 8.7495
H 0.0000 0.0000 0.0000
H 4.8960 4.8960 -4.8960
H 4.8960 -4.8960 4.8960
H 9.7920 0.0000 0.0000
H 14.6880 2.4480 0.0000
H 9.7920 -4.8960 7.3440
H 7.3440 9.7920 -4.8960
H 7.3440 0.0000 4.8960
H 4.8960 7.3440 0.0000
H 9.7920 4.8960 2.4480
H -4.8960 4.8960 4.8960
H 0.0000 9.7920 0.0000
H 0.0000 0.0000 9.7920
H 4.8960 4.8960 4.8960
H 0.0000 4.8960 7.3440
H 4.8960 2.4480 9.7920
H 2.4480 9.7920 4.8960
H 2.4480 0.0000 14.6880
H 0.0000 14.6880 2.4480
H -4.8960 7.3440 9.7920
Au 4.8960 2.4480 0.0000
Au 9.7920 4.8960 -2.4480
Au 2.4480 0.0000 4.8960
Au 12.2400 0.0000 4.8960
Au 0.0000 4.8960 2.4480
Au 4.8960 -2.4480 9.7920
Au 4.8960 12.2400 0.0000
Au 9.7920 4.8960 7.3440
Au -2.4480 9.7920 4.8960
Au 7.3440 9.7920 4.8960
Au 0.0000 4.8960 12.2400
Au 4.8960 7.3440 9.7920
```

Total energy, eV/atom: -1.97
DOS(E_F), states/eV per atom: 0.542
Symmetry: Ia-3d, No. 230
Total magnetic moment, μB/cell: 0.8